# 1
## PrIrO (GGA-PBE)

Data for a relaxed PrIrO crystal.

Structure (POSCAR):
```
PrIrO
1.0
4.416 -2.128 0.000
4.416 2.128 0.000
-3.595 0.000 6.705
Pr Ir O
2 2 2
Direct
0.114 0.114 0.280
0.886 0.886 0.720
0.249 0.249 0.919
0.751 0.751 0.081
0.246 0.246 0.636
0.754 0.754 0.364
```

Output
Space group: C2/m (12)
Density, g/cm³: 9.2
Raw formation energy, eV per atom: -1.52

***

# 2
## UAgO4 (GGA-PBE)

Data for a relaxed UAgO4 crystal.

Structure (POSCAR):
```
UAgO4
1.0
-3.778 3.778 3.244
3.778 -3.778 3.244
3.778 3.778 -3.244
U Ag O
2 2 8
Direct
0.000 0.000 0.000
0.750 0.250 0.500
0.248 0.748 0.500
0.498 0.498 0.000
0.149 0.472 0.677
0.222 0.045 0.823
0.222 0.399 0.177
0.333 0.021 0.312
0.709 0.021 0.688
0.771 0.583 0.812
0.771 0.959 0.188
0.795 0.472 0.323
```

Output
Space group: I4_1md (109)
Density, g/cm³: 7.3
Raw formation energy, eV per atom: -2.00

***

# 3
## BeSnOs (GGA-PBE)

Data for a relaxed BeSnOs crystal.

Structure (POSCAR):
```
BeSnOs
1.0
4.793 -1.590 0.000
4.793 1.590 0.000
-2.029 0.000 6.040
Be Sn Os
2 2 2
Direct
0.000 0.000 0.000
0.053 0.053 0.494
0.289 0.289 0.119
0.826 0.826 0.629
0.583 0.583 0.774
0.595 0.595 0.264
```

Output
Space group: Cm (8)
Formation energy from the elements, meV/atom: 76
Density, g/cm³: 11.5
Polymorph energy (0 for the lowest one), meV per atom: 66

***

# 4
## Pr2Y2Zn (GGA-PBE)

Data for a relaxed Pr2Y2Zn crystal.

Structure (POSCAR):
```
Pr2Y2Zn
1.0
4.187 -4.825 0.000
4.187 4.825 0.000
-3.547 0.000 7.474
Pr Y Zn
4 4 2
Direct
0.164 0.164 0.413
0.273 0.273 0.874
0.727 0.727 0.126
0.836 0.836 0.587
0.240 0.616 0.265
0.384 0.760 0.735
0.616 0.240 0.265
0.760 0.384 0.735
0.146 0.854 0.000
0.854 0.146 0.000
```

Output
Space group: C2/m (12)
Formation energy from the elements, meV/atom: -37
Density, g/cm³: 5.8
Polymorph energy (0 for the lowest one), meV per atom: 98

***

# 5
## SrNiPt2 (GGA-PBE)

Data for a relaxed SrNiPt2 crystal.

Structure (POSCAR):
```
SrNiPt2
1.0
2.207 1.274 5.234
-2.207 1.274 5.234
0.000 -2.548 5.234
Sr Ni Pt
1 1 2
Direct
0.000 0.000 0.000
0.500 0.500 0.500
0.189 0.189 0.189
0.811 0.811 0.811
```

Output
Space group: R-3m (166)
Formation energy from the elements, meV/atom: -468
Density, g/cm³: 10.1

***

# 6
## ZrCrTe3 (GGA-PBE)

Data for a relaxed ZrCrTe3 crystal.

Structure (POSCAR):
```
ZrCrTe3
1.0
7.899 0.000 0.000
0.000 4.007 0.000
-0.505 0.000 8.337
Zr Cr Te
2 2 6
Direct
0.117 0.250 0.266
0.883 0.750 0.734
0.357 0.750 0.823
0.643 0.250 0.177
0.128 0.250 0.895
0.194 0.750 0.523
0.390 0.750 0.161
0.610 0.250 0.839
0.806 0.250 0.477
0.872 0.750 0.105
```

Output
Space group: P2_1/m (11)
Density, g/cm³: 6.6
Raw formation energy, eV per atom: -0.47
Polymorph energy (0 for the lowest one), meV per atom: 0

***

# 7
## SnPCl2F (GGA-PBE)

Data for a relaxed SnPCl2F crystal.

Structure (POSCAR):
```
SnPCl2F
1.0
5.083 0.000 0.000
0.000 5.083 0.000
0.000 0.000 5.378
Sn P Cl F
1 1 2 1
Direct
0.000 0.000 0.000
0.000 0.000 0.500
0.000 0.500 0.000
0.500 0.000 0.000
0.500 0.500 0.500
```

Output
Space group: P4/mmm (123)
Density, g/cm³: 2.9
Raw formation energy, eV per atom: -0.01
Polymorph energy (0 for the lowest one), meV per atom: 207

***

# 8
## KNdSm2Te4 (GGA-PBE)

Data for a relaxed KNdSm2Te4 crystal.

Structure (POSCAR):
```
KNdSm2Te4
1.0
7.917 0.000 0.000
0.000 4.480 0.000
-2.519 0.000 7.525
K Nd Sm Te
1 1 2 4
Direct
0.000 0.000 0.000
0.500 0.500 0.000
0.000 0.500 0.500
0.500 0.000 0.500
0.252 0.000 0.742
0.262 0.500 0.265
0.738 0.500 0.735
0.748 0.000 0.258
```

Output
Space group: P2/m (10)
Density, g/cm³: 6.2
Raw formation energy, eV per atom: -1.38

***

# 9
## Li2PmEr2Sb2 (GGA-PBE)

Data for a relaxed Li2PmEr2Sb2 crystal.

Structure (POSCAR):
```
Li2PmEr2Sb2
1.0
2.373 1.370 8.841
-2.373 1.370 8.841
0.000 -2.741 8.841
Li Pm Er Sb
2 1 2 2
Direct
0.089 0.089 0.089
0.911 0.911 0.911
0.500 0.500 0.500
0.369 0.369 0.369
0.631 0.631 0.631
0.239 0.239 0.239
0.761 0.761 0.761
```

Output
Space group: R-3m (166)
Density, g/cm³: 7.1
Raw formation energy, eV per atom: -0.55

***

| no. | volume (Å³ per cell) |
| --- | --- |
| 1 | 126 |
| 2 | 185 |
| 3 | 92 |
| 4 | 302 |
| 5 | 88 |
| 6 | 264 |
| 7 | 139 |
| 8 | 267 |
| 9 | 173 |